(1)
Below is crystalline YTc4P at its relaxed geometry, with properties calculated at the GGA-PBE level.

CIF file:
```
data_YTc4P
_cell_length_a 5.2514
_cell_length_b 5.2514
_cell_length_c 5.2514
_cell_angle_alpha 60.00
_cell_angle_beta 60.00
_cell_angle_gamma 60.00
_symmetry_space_group_name_H-M 'P 1'
_symmetry_Int_Tables_number 1
loop_
_symmetry_equiv_pos_as_xyz
'x,y,z'
loop_
_atom_site_label
_atom_site_type_symbol
_atom_site_fract_x
_atom_site_fract_y
_atom_site_fract_z
Y1 Y 0.7500 0.7500 0.7500
Tc1 Tc 0.8794 0.3735 0.3735
Tc2 Tc 0.3735 0.3735 0.8794
Tc3 Tc 0.3735 0.8794 0.3735
Tc4 Tc 0.3735 0.3735 0.3735
P1 P 0.0000 0.0000 0.0000
```

**Formation energy**: 0.25 eV per atom
**SG**: No. 216
**Magnetization**: 0.00 μB per cell
**Final energy**: -8.638 eV per atom

=====

(2)
Below is crystalline Ce12Si6C at its relaxed geometry, with properties calculated at the GGA-PBE level.

CIF file:
```
data_Ce12Si6C
_cell_length_a 7.7176
_cell_length_b 7.7176
_cell_length_c 7.7176
_cell_angle_alpha 95.23
_cell_angle_beta 95.23
_cell_angle_gamma 95.23
_symmetry_space_group_name_H-M 'P 1'
_symmetry_Int_Tables_number 1
loop_
_symmetry_equiv_pos_as_xyz
'x,y,z'
loop_
_atom_site_label
_atom_site_type_symbol
_atom_site_fract_x
_atom_site_fract_y
_atom_site_fract_z
Ce1 Ce 0.8407 0.5821 0.4774
Ce2 Ce 0.4774 0.8407 0.5821
Ce3 Ce 0.5821 0.4774 0.8407
Ce4 Ce 0.1593 0.4179 0.5226
Ce5 Ce 0.5226 0.1593 0.4179
Ce6 Ce 0.4179 0.5226 0.1593
Ce7 Ce 0.9781 0.0732 0.3206
Ce8 Ce 0.9268 0.6794 0.0219
Ce9 Ce 0.6794 0.0219 0.9268
Ce10 Ce 0.0219 0.9268 0.6794
Ce11 Ce 0.0732 0.3206 0.9781
Ce12 Ce 0.3206 0.9781 0.0732
Si1 Si 0.6614 0.8313 0.2546
Si2 Si 0.7454 0.3386 0.1687
Si3 Si 0.1687 0.7454 0.3386
Si4 Si 0.3386 0.1687 0.7454
Si5 Si 0.2546 0.6614 0.8313
Si6 Si 0.8313 0.2546 0.6614
C1 C 0.0000 0.0000 0.0000
```

**SG**: No. 148
**Uncorrected formation energy**: -7.43 eV/f.u.
**Magnetization**: 6.82 μB per cell
**Final energy**: -6.337 eV per atom